Pr6SmAg2 | PBE | relaxed

E_form: -100 meV per atom
symmetry: No. 12
relative energy among the computed polymorphs: 0 kJ/mol of formula units
DOS at the Fermi energy: 1.30 states/eV per atom

Cell lengths 6.752, 6.752, 12.264 Å; angles 107.57, 107.57, 32.67 degrees
Element x y z (fractional)
Pr 0.025 0.025 0.333
Pr 0.312 0.312 0.409
Pr 0.315 0.315 0.123
Pr 0.685 0.685 0.877
Pr 0.688 0.688 0.591
Pr 0.975 0.975 0.667
Sm 0.000 0.000 0.000
Ag 0.357 0.357 0.806
Ag 0.643 0.643 0.194